{"formula": "AcPdF2", "functional": "PBE", "state": "relaxed", "lattice": [[-2.441, -1.857, 2.931], [1.411, -0.422, 3.978], [-2.474, 4.036, 3.567]], "species": ["Ac", "Pd", "F", "F"], "frac_coords": [[0.500, 0.500, 0.500], [0.000, 0.000, 0.000], [0.200, 0.200, 0.401], [0.800, 0.800, 0.599]], "e_form_raw_mev_per_atom": -2394, "dos_ef_per_ev_atom": 0.336, "e_tot_ev_per_atom": -5.66}

---

{"formula": "Li2AgHgI6", "functional": "PBE", "state": "relaxed", "lattice": [[-2.977, -1.600, -5.702], [-2.771, -12.038, 0.529], [-11.614, 4.199, 0.592]], "species": ["Li", "Li", "Li", "Li", "Ag", "Ag", "Hg", "Hg", "I", "I", "I", "I", "I", "I", "I", "I", "I", "I", "I", "I"], "frac_coords": [[0.372, 0.815, 0.604], [0.128, 0.396, 0.185], [0.628, 0.185, 0.396], [0.872, 0.604, 0.815], [0.250, 0.808, 0.192], [0.750, 0.192, 0.808], [0.250, 0.183, 0.817], [0.750, 0.817, 0.183], [0.109, 0.985, 0.805], [0.391, 0.195, 0.015], [0.891, 0.015, 0.195], [0.609, 0.805, 0.985], [0.363, 0.871, 0.392], [0.137, 0.608, 0.129], [0.637, 0.129, 0.608], [0.863, 0.392, 0.871], [0.209, 0.634, 0.638], [0.291, 0.362, 0.366], [0.791, 0.366, 0.362], [0.709, 0.638, 0.634]], "e_form_raw_mev_per_atom": -549, "dos_ef_per_ev_atom": 0.126, "e_tot_ev_per_atom": -2.18}

---

{"formula": "TbGdInTc", "functional": "PBE", "state": "relaxed", "lattice": [[-1.813, 3.391, 3.361], [-4.977, 1.143, 0.042], [-2.946, -1.562, 3.868]], "species": ["Gd", "Tb", "Tc", "In"], "frac_coords": [[0.750, 0.750, 0.750], [0.250, 0.250, 0.250], [0.500, 0.500, 0.500], [0.000, 0.000, 0.000]], "dos_ef_per_ev_atom": 0.922, "formation_energy_ev_per_atom": -0.12, "e_tot_ev_per_atom": -8.07}

---

{"formula": "TlSbPb2", "functional": "PBE", "state": "relaxed", "lattice": [[5.936, -0.249, -0.303], [1.852, 5.645, 0.303], [-3.720, -2.949, 3.585]], "species": ["Pb", "Pb", "Sb", "Tl"], "frac_coords": [[0.000, 0.000, 0.000], [0.500, 0.500, 0.000], [0.750, 0.250, 0.500], [0.250, 0.750, 0.500]], "e_form_raw_mev_per_atom": 30, "e_above_lowest_polymorph_ev_per_fu": 0.07, "dos_ef_per_ev_atom": 0.490, "e_tot_ev_per_atom": -3.45}

---

Q: Number 4 is which compound?
A: TlSbPb2

---

Repeat the third record exactly.
{"formula": "TbGdInTc", "functional": "PBE", "state": "relaxed", "lattice": [[-1.813, 3.391, 3.361], [-4.977, 1.143, 0.042], [-2.946, -1.562, 3.868]], "species": ["Gd", "Tb", "Tc", "In"], "frac_coords": [[0.750, 0.750, 0.750], [0.250, 0.250, 0.250], [0.500, 0.500, 0.500], [0.000, 0.000, 0.000]], "dos_ef_per_ev_atom": 0.922, "formation_energy_ev_per_atom": -0.12, "e_tot_ev_per_atom": -8.07}